## MnGaMoN2 (GGA-PBE)

Data for a relaxed structure of MnGaMoN2.

Properties
Crystal system   tetragonal
Uncorrected energy   -35.24 eV per formula unit
Raw formation energy   0.89 eV/atom
Fermi-level density of states   3.45 states/eV/cell
Magnetic moment   0.0 μB/cell

Lattice parameters (Å, degrees): 3.6380 3.6380 4.9454 90.00 90.00 90.00
Space group P4/mmm (No. 123)
Asymmetric unit:
Mn (0.0000, 0.0000, 0.0000)
Ga (0.5000, 0.5000, 0.5000)
Mo (0.0000, 0.0000, 0.5000)
N (0.0000, 0.5000, 0.0000)

---

## Ca4MoIr (GGA-PBE)

Data for a relaxed structure of Ca4MoIr.

Properties
Crystal system   cubic
Uncorrected energy   -20.72 eV per formula unit
Fermi-level density of states   21.14 states/eV/cell
Energy of formation from the pure elements   6.98 eV per formula unit
Magnetic moment   15.6 μB/cell

Lattice parameters (Å, degrees): 8.5447 8.5447 8.5447 90.00 90.00 90.00
Space group F-43m (No. 216)
Asymmetric unit:
Ca (0.1243, 0.1243, 0.1243)
Mo (0.0000, 0.0000, 0.5000)
Ir (0.2500, 0.2500, 0.7500)

---

## HoScMn17 (GGA-PBE)

Data for a relaxed structure of HoScMn17.

Properties
Crystal system   trigonal
Uncorrected energy   -166.37 eV per formula unit
Fermi-level density of states   81.96 states/eV/cell
Energy of formation from the pure elements   0.42 eV per formula unit
Magnetic moment   0.4 μB/cell

Lattice parameters (Å, degrees): 8.1640 8.1640 12.2829 90.00 90.00 120.00
Space group R3m (No. 160, hexagonal axes)
Asymmetric unit:
Ho (0.0000, 0.0000, 0.0000)
Sc (0.0000, 0.0000, 0.3117)
Mn (0.0000, 0.0000, 0.5645)
Mn (0.0000, 0.0000, 0.7473)
Mn (0.0024, 0.5012, 0.1561)
Mn (0.0019, 0.5010, 0.4987)
Mn (0.0409, 0.3711, 0.3226)
Mn (0.1684, 0.3368, 0.1465)

---

## BSeBr2Cl (GGA-PBE)

Data for a relaxed structure of BSeBr2Cl.

Properties
Polymorph energy (0 for the lowest one)   3.48 eV per formula unit
Crystal system   tetragonal
Uncorrected energy   -8.27 eV per formula unit
Raw formation energy   1.42 eV/atom
Fermi-level density of states   2.99 states/eV/cell
Magnetic moment   0.0 μB/cell

Lattice parameters (Å, degrees): 5.2674 5.2674 5.0610 90.00 90.00 90.00
Space group P4/mmm (No. 123)
Asymmetric unit:
B (0.0000, 0.0000, 0.0000)
Se (0.5000, 0.5000, 0.0000)
Br (0.0000, 0.5000, 0.5000)
Cl (0.5000, 0.5000, 0.5000)

---

## Sr3BW (GGA-PBE)

Data for a relaxed structure of Sr3BW.

Properties
Polymorph energy (0 for the lowest one)   0.00 eV per formula unit
Crystal system   cubic
Uncorrected energy   -18.18 eV per formula unit
Fermi-level density of states   6.74 states/eV/cell
Energy of formation from the pure elements   6.50 eV per formula unit
Magnetic moment   3.5 μB/cell

Lattice parameters (Å, degrees): 5.5656 5.5656 5.5656 90.00 90.00 90.00
Space group Pm-3m (No. 221)
Asymmetric unit:
Sr (0.0000, 0.0000, 0.5000)
B (0.0000, 0.0000, 0.0000)
W (0.5000, 0.5000, 0.5000)

---

## TiNb6Tl2O18 (GGA-PBE)

Data for a relaxed structure of TiNb6Tl2O18.

Properties
Crystal system   monoclinic
Uncorrected energy   -227.99 eV per formula unit
Raw formation energy   -2.43 eV/atom
Fermi-level density of states   0.00 states/eV/cell
Magnetic moment   0.0 μB/cell

Lattice parameters (Å, degrees): 13.3183 7.6888 8.3269 90.00 90.00 90.00
Space group C2 (No. 5)
Asymmetric unit:
Ti (0.0000, 0.0000, 0.0000)
Nb (0.0840, 0.2518, 0.6526)
Nb (0.0839, 0.7480, 0.6525)
Nb (0.1679, 0.9999, 0.3474)
Tl (0.1669, 0.4991, 0.2189)
O (0.0514, 0.4999, 0.6621)
O (0.0598, 0.1792, 0.8619)
O (0.0597, 0.8208, 0.8618)
O (0.0717, 0.2151, 0.3989)
O (0.0717, 0.7847, 0.3989)
O (0.1195, 0.0000, 0.1381)
O (0.1435, 0.9999, 0.6011)
O (0.2243, 0.3270, 0.6621)
O (0.2243, 0.6729, 0.6622)

---

What is the uncorrected energy in the sixth record? -227.99 eV per formula unit